BaTaNb | PBE | relaxed

Lattice parameters (Å, degrees): 4.781 4.781 4.781 60.00 60.00 60.00
Fractional coordinates of all 3 atoms:
Ba 0.000 0.000 0.000
Nb 0.250 0.250 0.250
Ta 0.750 0.750 0.750

Properties
Total magnetization = 0.455 μB/cell
Uncorrected energy = -16.6 eV/cell